# CaCr4O9

Crystalline CaCr4O9 at its relaxed geometry (GGA+U, Alexandria).

The structure in extended XYZ format:
```
28
Lattice="8.4681 0.0000 0.0000 0.0000 8.4681 0.0000 0.0000 0.0000 5.0667" Properties=species:S:1:pos:R:3 pbc="T T T"
Ca 2.1170 2.1170 0.7352
Ca 6.3511 6.3511 4.3315
Cr 0.3284 7.1250 1.9591
Cr 1.3432 4.5625 3.1076
Cr 2.8909 8.1397 3.1076
Cr 3.9057 5.5772 1.9591
Cr 4.5625 2.8909 3.1076
Cr 5.5772 0.3284 1.9591
Cr 7.1250 3.9057 1.9591
Cr 8.1397 1.3432 3.1076
O 0.1026 1.4842 4.7218
O 0.3267 2.9962 2.3622
O 1.2379 0.3267 2.3622
O 1.4842 4.1315 4.7218
O 2.1170 6.3511 2.5334
O 2.7499 0.1026 4.7218
O 2.9962 3.9073 2.3622
O 3.9073 1.2379 2.3622
O 4.1315 2.7499 4.7218
O 4.3367 5.7183 0.3449
O 4.5608 7.2303 2.7045
O 5.4719 4.5608 2.7045
O 5.7183 8.3655 0.3449
O 6.3511 2.1170 2.5334
O 6.9839 4.3367 0.3449
O 7.2303 8.1414 2.7045
O 8.1414 5.4719 2.7045
O 8.3655 6.9839 0.3449
```

Properties
Raw total energy: -7.125 eV per atom
Total magnetization: 8.0 μB/f.u.